Y2AlTeO | PBE | optimized geometry

```
5
Lattice="5.4883 0.0000 0.0000 0.0000 4.9372 0.0000 0.0000 0.0000 5.4883" Properties=species:S:1:pos:R:3 pbc="T T T"
Y 0.0000 0.0000 2.7441
Y 2.7441 0.0000 0.0000
Te 0.0000 2.4686 0.0000
Al 0.0000 0.0000 0.0000
O 2.7441 2.4686 2.7441
```

* calculated density: 3.89 g cm⁻³
* electronic total energy: -23.32 eV/cell
* uncorrected formation energy: 1.45 eV/f.u.
* space group: P4/mmm (123)
* N(E_F): 3.30 states/eV per cell
* total moment: 0.0 μB/cell